--- P ---
TcHgPS2 | PBE | relaxed

abc: 4.9752 4.9752 4.9482
angles: 90.00 90.00 90.00
Closest atoms and distances in Å follow each position.
Element x y z (fractional)
Tc  0.0000  0.0000  0.0000  8 S 3.51, 4 P 3.52
Hg  0.5000  0.5000  0.5000  2 P 2.47, 4 S 2.49
P  0.5000  0.5000  0.0000  2 Hg 2.47
S  0.0000  0.5000  0.5000  2 Hg 2.49
S  0.5000  0.0000  0.5000  2 Hg 2.49

Properties
**Calculated volume**: 122 Å³ per cell



--- Q ---
TcHgPS2 | PBE | relaxed

abc: 4.5230 4.5230 5.1021
angles: 90.00 90.00 90.00
Closest atoms and distances in Å follow each position.
Element x y z (fractional)
Tc  0.0000  0.0000  0.0000  4 S 2.26
Hg  0.5000  0.5000  0.5000  4 P 3.20, 8 S 3.41
P  0.0000  0.0000  0.5000  2 Tc 2.55
S  0.0000  0.5000  0.0000  2 Tc 2.26
S  0.5000  0.0000  0.0000  2 Tc 2.26

Properties
**Calculated volume**: 104 Å³ per cell



Q has the most favorable energy; the next structure is 115.4 kJ/mol of atoms above.



--- P ---
TiHgP2S | PBE | relaxed

abc: 4.8205 4.8205 4.6249
angles: 90.00 90.00 90.00
Closest atoms and distances in Å follow each position.
Element x y z (fractional)
Ti  0.0000  0.0000  0.0000  2 S 2.31, 4 P 2.41
Hg  0.5000  0.5000  0.5000  8 P 3.34, 4 S 3.41
P  0.0000  0.5000  0.0000  2 Ti 2.41
P  0.5000  0.0000  0.0000  2 Ti 2.41
S  0.0000  0.0000  0.5000  2 Ti 2.31

Properties
**Calculated volume**: 107 Å³ per cell



--- Q ---
TiHgP2S | PBE | relaxed

abc: 4.8807 4.8807 4.9048
angles: 90.00 90.00 90.00
Closest atoms and distances in Å follow each position.
Element x y z (fractional)
Ti  0.0000  0.0000  0.0000  4 S 3.45, 8 P 3.46
Hg  0.5000  0.5000  0.5000  4 P 2.44, 2 S 2.45
P  0.0000  0.5000  0.5000  2 Hg 2.44
P  0.5000  0.0000  0.5000  2 Hg 2.44
S  0.5000  0.5000  0.0000  2 Hg 2.45

Properties
**Calculated volume**: 117 Å³ per cell



P has the most favorable energy; the next structure is 107.3 kJ/mol of atoms above.



--- P ---
TlHgP2S | PBE | relaxed

abc: 5.0790 5.0790 5.2678
angles: 90.00 90.00 90.00
Closest atoms and distances in Å follow each position.
Element x y z (fractional)
Tl  0.0000  0.0000  0.0000  4 S 3.59, 8 P 3.66
Hg  0.5000  0.5000  0.5000  4 P 2.54, 2 S 2.63
P  0.0000  0.5000  0.5000  2 Hg 2.54
P  0.5000  0.0000  0.5000  2 Hg 2.54
S  0.5000  0.5000  0.0000  2 Hg 2.63

Properties
**Calculated volume**: 136 Å³ per cell



--- Q ---
TlHgP2S | PBE | relaxed

abc: 5.2907 5.2907 5.1780
angles: 90.00 90.00 90.00
Closest atoms and distances in Å follow each position.
Element x y z (fractional)
Tl  0.0000  0.0000  0.0000  2 S 2.59, 4 P 2.65
Hg  0.5000  0.5000  0.5000  8 P 3.70, 4 S 3.74
P  0.0000  0.5000  0.0000  2 Tl 2.65
P  0.5000  0.0000  0.0000  2 Tl 2.65
S  0.0000  0.0000  0.5000  2 Tl 2.59

Properties
**Calculated volume**: 145 Å³ per cell



P has the most favorable energy; the next structure is 26.3 kJ/mol of atoms above.



--- P ---
TlHgPS2 | PBE | relaxed

abc: 5.1529 5.1529 5.3617
angles: 90.00 90.00 90.00
Closest atoms and distances in Å follow each position.
Element x y z (fractional)
Tl  0.0000  0.0000  0.0000  4 S 2.58, 2 P 2.68
Hg  0.5000  0.5000  0.5000  4 P 3.64, 8 S 3.72
P  0.0000  0.0000  0.5000  2 Tl 2.68
S  0.0000  0.5000  0.0000  2 Tl 2.58
S  0.5000  0.0000  0.0000  2 Tl 2.58

Properties
**Calculated volume**: 142 Å³ per cell



--- Q ---
TlHgPS2 | PBE | relaxed

abc: 5.1740 5.1740 5.0726
angles: 90.00 90.00 90.00
Closest atoms and distances in Å follow each position.
Element x y z (fractional)
Tl  0.0000  0.0000  0.0000  8 S 3.62, 4 P 3.66
Hg  0.5000  0.5000  0.5000  2 P 2.54, 4 S 2.59
P  0.5000  0.5000  0.0000  2 Hg 2.54
S  0.0000  0.5000  0.5000  2 Hg 2.59
S  0.5000  0.0000  0.5000  2 Hg 2.59

Properties
**Calculated volume**: 136 Å³ per cell



Q has the most favorable energy; the next structure is 27.5 kJ/mol of atoms above.



--- P ---
VHgPS2 | PBE | relaxed

abc: 4.5133 4.5133 4.8712
angles: 90.00 90.00 90.00
Closest atoms and distances in Å follow each position.
Element x y z (fractional)
V  0.0000  0.0000  0.0000  4 S 2.26, 2 P 2.44
Hg  0.5000  0.5000  0.5000  4 P 3.19, 8 S 3.32
P  0.0000  0.0000  0.5000  2 V 2.44
S  0.0000  0.5000  0.0000  2 V 2.26
S  0.5000  0.0000  0.0000  2 V 2.26

Properties
**Calculated volume**: 99 Å³ per cell



--- Q ---
VHgPS2 | PBE | relaxed

abc: 4.9324 4.9324 4.8987
angles: 90.00 90.00 90.00
Closest atoms and distances in Å follow each position.
Element x y z (fractional)
V  0.0000  0.0000  0.0000  8 S 3.48, 4 P 3.49
Hg  0.5000  0.5000  0.5000  2 P 2.45, 4 S 2.47
P  0.5000  0.5000  0.0000  2 Hg 2.45
S  0.0000  0.5000  0.5000  2 Hg 2.47
S  0.5000  0.0000  0.5000  2 Hg 2.47

Properties
**Calculated volume**: 119 Å³ per cell



P has the most favorable energy; the next structure is 134.7 kJ/mol of atoms above.



--- P ---
VHgP2S | PBE | relaxed

abc: 4.6695 4.6695 4.4931
angles: 90.00 90.00 90.00
Closest atoms and distances in Å follow each position.
Element x y z (fractional)
V  0.0000  0.0000  0.0000  2 S 2.25, 4 P 2.33
Hg  0.5000  0.5000  0.5000  8 P 3.24, 4 S 3.30
P  0.0000  0.5000  0.0000  2 V 2.33
P  0.5000  0.0000  0.0000  2 V 2.33
S  0.0000  0.0000  0.5000  2 V 2.25

Properties
**Calculated volume**: 98 Å³ per cell



--- Q ---
VHgP2S | PBE | relaxed

abc: 4.9083 4.9083 5.0235
angles: 90.00 90.00 90.00
Closest atoms and distances in Å follow each position.
Element x y z (fractional)
V  0.0000  0.0000  0.0000  4 S 3.47, 8 P 3.51
Hg  0.5000  0.5000  0.5000  4 P 2.45, 2 S 2.51
P  0.0000  0.5000  0.5000  2 Hg 2.45
P  0.5000  0.0000  0.5000  2 Hg 2.45
S  0.5000  0.5000  0.0000  2 Hg 2.51

Properties
**Calculated volume**: 121 Å³ per cell



P has the most favorable energy; the next structure is 117.2 kJ/mol of atoms above.



--- P ---
ZrHgP2S | PBE | relaxed

abc: 4.8613 4.8613 4.8619
angles: 90.00 90.00 90.00
Closest atoms and distances in Å follow each position.
Element x y z (fractional)
Zr  0.0000  0.0000  0.0000  4 S 3.44, 8 P 3.44
Hg  0.5000  0.5000  0.5000  4 P 2.43, 2 S 2.43
P  0.0000  0.5000  0.5000  2 Hg 2.43
P  0.5000  0.0000  0.5000  2 Hg 2.43
S  0.5000  0.5000  0.0000  2 Hg 2.43

Properties
**Calculated volume**: 115 Å³ per cell



--- Q ---
ZrHgP2S | PBE | relaxed

abc: 5.1264 5.1264 4.9242
angles: 90.00 90.00 90.00
Closest atoms and distances in Å follow each position.
Element x y z (fractional)
Zr  0.0000  0.0000  0.0000  2 S 2.46, 4 P 2.56
Hg  0.5000  0.5000  0.5000  8 P 3.55, 4 S 3.62
P  0.0000  0.5000  0.0000  2 Zr 2.56
P  0.5000  0.0000  0.0000  2 Zr 2.56
S  0.0000  0.0000  0.5000  2 Zr 2.46

Properties
**Calculated volume**: 129 Å³ per cell



Q has the most favorable energy; the next structure is 74.4 kJ/mol of atoms above.



--- P ---
ZrHgPS2 | PBE | relaxed

abc: 4.9337 4.9337 6.0374
angles: 90.00 90.00 90.00
Closest atoms and distances in Å follow each position.
Element x y z (fractional)
Zr  0.0000  0.0000  0.0000  4 S 2.47
Hg  0.0000  0.0000  0.5000  2 Zr 3.02
P  0.5000  0.5000  0.5000  4 Hg 3.49, 8 S 3.90
S  0.0000  0.5000  0.0000  2 Zr 2.47
S  0.5000  0.0000  0.0000  2 Zr 2.47

Properties
**Calculated volume**: 147 Å³ per cell



--- Q ---
ZrHgPS2 | PBE | relaxed

abc: 4.9378 4.9378 5.2958
angles: 90.00 90.00 90.00
Closest atoms and distances in Å follow each position.
Element x y z (fractional)
Zr  0.0000  0.0000  0.0000  4 S 2.47, 2 P 2.65
Hg  0.5000  0.5000  0.5000  4 P 3.49, 8 S 3.62
P  0.0000  0.0000  0.5000  2 Zr 2.65
S  0.0000  0.5000  0.0000  2 Zr 2.47
S  0.5000  0.0000  0.0000  2 Zr 2.47

Properties
**Calculated volume**: 129 Å³ per cell



--- R ---
ZrHgPS2 | PBE | relaxed

abc: 4.8278 4.8278 4.9401
angles: 90.00 90.00 90.00
Closest atoms and distances in Å follow each position.
Element x y z (fractional)
Zr  0.0000  0.0000  0.0000  4 P 3.41, 8 S 3.45
Hg  0.5000  0.5000  0.5000  4 S 2.41, 2 P 2.47
P  0.5000  0.5000  0.0000  2 Hg 2.47
S  0.0000  0.5000  0.5000  2 Hg 2.41
S  0.5000  0.0000  0.5000  2 Hg 2.41

Properties
**Calculated volume**: 115 Å³ per cell



Q has the most favorable energy; the next structure is 34.7 kJ/mol of atoms above.



--- P ---
HgSbP2 | PBE | relaxed

abc: 4.8766 4.8766 4.8766
angles: 60.00 60.00 60.00
Closest atoms and distances in Å follow each position.
Element x y z (fractional)
Hg  0.0000  0.0000  0.0000  8 P 2.99
Sb  0.5000  0.5000  0.5000  8 P 2.99
P  0.2500  0.2500  0.2500  4 Hg 2.99, 4 Sb 2.99
P  0.7500  0.7500  0.7500  4 Hg 2.99, 4 Sb 2.99

Properties
**Calculated volume**: 82 Å³ per cell



--- Q ---
HgSbP2 | PBE | relaxed

abc: 3.5337 3.5337 7.5113
angles: 90.00 90.00 112.29
Closest atoms and distances in Å follow each position.
Element x y z (fractional)
Hg  0.0000  0.0000  0.0000  4 P 2.73
Sb  0.0000  0.0000  0.5000  4 P 2.71
P  0.5000  0.5000  0.2515  2 Sb 2.71, 2 Hg 2.73
P  0.5000  0.5000  0.7485  2 Sb 2.71, 2 Hg 2.73

Properties
**Calculated volume**: 87 Å³ per cell



--- R ---
HgSbP2 | PBE | relaxed

abc: 7.5312 7.5312 7.5312
angles: 155.57 148.55 40.22
Closest atoms and distances in Å follow each position.
Element x y z (fractional)
Hg  0.0000  0.0000  0.0000  2 Sb 2.99, 4 P 3.07, 2 Hg 3.19
Sb  0.3457  0.8457  0.5000  2 Hg 2.99, 4 P 3.12, 2 Sb 3.19
P  0.6164  0.6164  0.0000  2 P 2.19
P  0.7223  0.2223  0.5000  2 P 2.19

Properties
**Calculated volume**: 92 Å³ per cell



--- S ---
HgSbP2 | PBE | relaxed

abc: 6.4223 6.4223 6.4223
angles: 144.89 144.89 50.51
Closest atoms and distances in Å follow each position.
Element x y z (fractional)
Hg  0.0000  0.0000  0.0000  4 P 2.74
Sb  0.7500  0.2500  0.5000  4 P 2.74
P  0.2500  0.7500  0.5000  4 Sb 2.74
P  0.5000  0.5000  0.0000  4 Hg 2.74

Properties
**Calculated volume**: 87 Å³ per cell



R has the most favorable energy; the next structure is 29.4 kJ/mol of atoms above.



--- P ---
HgSbP2 | PBE | relaxed

abc: 4.8096 4.8096 4.8096
angles: 109.93 109.93 108.56
Closest atoms and distances in Å follow each position.
Element x y z (fractional)
Hg  0.0000  0.0000  0.0000  4 P 2.76, 2 Sb 2.81
Sb  0.5000  0.5000  0.0000  4 P 2.76, 2 Hg 2.81
P  0.0000  0.5000  0.5000  2 Hg 2.76, 2 Sb 2.76, 2 P 2.81
P  0.5000  0.0000  0.5000  2 Hg 2.76, 2 Sb 2.76, 2 P 2.81

Properties
**Calculated volume**: 86 Å³ per cell



--- Q ---
HgSbP2 | PBE | relaxed

abc: 4.1216 4.6321 4.8582
angles: 90.00 103.40 90.00
Closest atoms and distances in Å follow each position.
Element x y z (fractional)
Hg  0.0000  0.0000  0.0000  2 P 2.76-2.86
Sb  0.2731  0.5000  0.6807  4 P 2.61-2.86
P  0.5354  0.0000  0.4623  2 P 2.53, 1 Hg 2.76
P  0.6910  0.5000  0.3247  2 P 2.53, 2 Sb 2.61-2.71

Properties
**Calculated volume**: 90 Å³ per cell



Q has the most favorable energy; the next structure is 4.3 kJ/mol of atoms above.



--- P ---
HgSbP2 | PBE | relaxed

abc: 3.7050 3.9592 5.9988
angles: 90.00 90.00 90.00
Closest atoms and distances in Å follow each position.
Element x y z (fractional)
Hg  0.0000  0.0000  0.0000  4 P 2.71
Sb  0.0000  0.5000  0.5000  4 P 2.71
P  0.5000  0.0000  0.5000  4 Sb 2.71
P  0.5000  0.5000  0.0000  4 Hg 2.71

Properties
**Calculated volume**: 88 Å³ per cell



--- Q ---
HgSbP2 | PBE | relaxed

abc: 7.5161 7.5161 7.5161
angles: 132.98 132.98 68.69
Closest atoms and distances in Å follow each position.
Element x y z (fractional)
Hg  0.0000  0.0000  0.0000  4 P 2.63
Hg  0.7500  0.2500  0.5000  4 P 2.63
Sb  0.2500  0.7500  0.5000  4 P 2.63
Sb  0.5000  0.5000  0.0000  4 P 2.63
P  0.1247  0.6250  0.9997  2 Hg 2.63, 2 Sb 2.63
P  0.3750  0.3747  0.4997  2 Hg 2.63, 2 Sb 2.63
P  0.6253  0.1250  0.0003  2 Hg 2.63, 2 Sb 2.63
P  0.8750  0.8753  0.5003  2 Hg 2.63, 2 Sb 2.63

Properties
**Calculated volume**: 223 Å³ per cell



--- R ---
HgSbP2 | PBE | relaxed

abc: 2.8670 3.9272 7.8032
angles: 90.00 91.53 90.00
Closest atoms and distances in Å follow each position.
Element x y z (fractional)
Hg  0.0000  0.0000  0.0000  4 P 2.79, 2 Hg 2.87
Sb  0.0000  0.0000  0.5000  4 P 2.75, 2 Sb 2.87
P  0.0152  0.5000  0.7459  2 Sb 2.75, 2 Hg 2.79, 2 P 2.87
P  0.9848  0.5000  0.2541  2 Sb 2.75, 2 Hg 2.79, 2 P 2.87

Properties
**Calculated volume**: 88 Å³ per cell



Q has the most favorable energy; the next structure is 4.2 kJ/mol of atoms above.